VASP calculation (PBE) on a geometry-optimized VRe2H2 structure.

The calculation puts the calculated total energy at -7.954 eV/atom.

a = 3.037 Å, b = 3.037 Å, c = 5.773 Å
α = 74.75°, β = 74.75°, γ = 90.00°
Positions (direct):
Re (0.361, 0.361, 0.278)
Re (0.639, 0.639, 0.722)
V (0.000, 0.000, 0.000)
H (0.750, 0.250, 0.500)
H (0.250, 0.750, 0.500)


VASP calculation (PBE) on a geometry-optimized La2FePbN structure.

For the uncorrected formation energy, the calculation gives -0.566 eV per atom. The calculation puts the calculated total energy at -6.637 eV/atom.

a = 5.519 Å, b = 3.660 Å, c = 5.519 Å
α = 90.00°, β = 90.00°, γ = 90.00°
Positions (direct):
Pb (0.500, 0.500, 0.500)
N (0.000, 0.000, 0.000)
Fe (0.000, 0.500, 0.000)
La (0.000, 0.000, 0.500)
La (0.500, 0.000, 0.000)


VASP calculation (PBE) on a geometry-optimized Sc2MnW structure.

The calculation puts the calculated total energy at -8.366 eV/atom. For the formation energy, the calculation gives 0.3307 eV/atom.

a = 4.917 Å, b = 4.917 Å, c = 3.023 Å
α = 90.00°, β = 90.00°, γ = 90.00°
Positions (direct):
Mn (0.000, 0.500, 0.500)
Sc (0.000, 0.000, 0.000)
Sc (0.500, 0.500, 0.000)
W (0.500, 0.000, 0.500)


VASP calculation (PBE) on a geometry-optimized ZrC3 structure.

The calculation puts the calculated total energy at -7.207 eV/atom. For the formation energy, the calculation gives 1.8481 eV/atom.

a = 4.538 Å, b = 4.538 Å, c = 4.538 Å
α = 138.62°, β = 138.62°, γ = 59.95°
Positions (direct):
C (0.250, 0.750, 0.500)
C (0.500, 0.500, 0.000)
C (0.750, 0.250, 0.500)
Zr (0.000, 0.000, 0.000)


VASP calculation (PBE) on a geometry-optimized Ti3V4P4 structure.

The calculation puts the calculated total energy at -8.374 eV/atom. For the formation energy, the calculation gives -0.9373 eV/atom.

a = 3.331 Å, b = 7.160 Å, c = 7.507 Å
α = 118.48°, β = 102.82°, γ = 90.00°
Positions (direct):
Ti (0.110, 0.110, 0.220)
Ti (0.890, 0.890, 0.780)
Ti (0.000, 0.500, 0.000)
V (0.326, 0.130, 0.651)
V (0.674, 0.479, 0.349)
V (0.674, 0.870, 0.349)
V (0.326, 0.521, 0.651)
P (0.241, 0.741, 0.481)
P (0.759, 0.259, 0.519)
P (0.500, 0.798, 0.000)
P (0.500, 0.202, 0.000)


VASP calculation (PBE) on a geometry-optimized NaZrZnTe2 structure.

For the uncorrected formation energy, the calculation gives 0.505 eV per atom. The calculation puts the calculated total energy at -2.980 eV/atom.

a = 5.498 Å, b = 4.654 Å, c = 5.498 Å
α = 90.00°, β = 90.00°, γ = 90.00°
Positions (direct):
Na (0.000, 0.000, 0.000)
Zn (0.000, 0.500, 0.000)
Te (0.000, 0.000, 0.500)
Te (0.500, 0.000, 0.000)
Zr (0.500, 0.500, 0.500)


> The lowest calculated total energy belongs to which entry?

Ti3V4P4


> Which formula does entry 5 have?

Ti3V4P4